Entry 1:
Density functional theory data (PBE) for a relaxed TbPr3Ga2 crystal.

a = 5.1865 Å, b = 6.7176 Å, c = 9.7620 Å
α = 90.00°, β = 90.00°, γ = 90.00°
Sites, in units of the cell vectors:
Ga (0.5000, 0.7090, 0.8481)
Ga (0.0000, 0.7953, 0.3505)
Ga (0.0000, 0.2953, 0.6495)
Tb (0.5000, 0.5127, 0.5570)
Pr (0.5000, 0.1837, 0.8264)
Pr (0.0000, 0.9844, 0.0508)
Tb (0.5000, 0.0127, 0.4430)
Ga (0.5000, 0.2090, 0.1519)
Pr (0.0000, 0.4844, 0.9492)
Pr (0.5000, 0.6837, 0.1736)
Pr (0.0000, 0.3150, 0.3361)
Pr (0.0000, 0.8150, 0.6639)

## Properties
- E: -4.559 eV/atom
- Space-group type: Pmc2_1, No. 26
- V: 28.3 A^3/atom

***

Entry 2:
Density functional theory data (PBE) for a relaxed Ac2Sc2AsPb2 crystal.

a = 5.0286 Å, b = 5.0286 Å, c = 9.4731 Å
α = 105.39°, β = 105.39°, γ = 90.00°
Sites, in units of the cell vectors:
Pb (0.6223, 0.6223, 0.2446)
Ac (0.1737, 0.1737, 0.3475)
Pb (0.3777, 0.3777, 0.7554)
Ac (0.8263, 0.8263, 0.6525)
Sc (0.0000, 0.5000, 0.0000)
Sc (0.5000, 0.0000, 0.0000)
As (0.0000, 0.0000, 0.0000)

## Properties
- E: -5.453 eV/atom
- Space-group type: I4/mmm, No. 139
- V: 31.7 A^3/atom